This record from the Alexandria database describes a geometry-optimized NiWF2 structure. The functional is PBE+U.

Properties
- Total magnetization: 0.000 μB/cell
- DFT total energy: -0.129 hartree per atom
- DOS(E_F): 7.15 states/eV/f.u.

Cell: 2.8227 2.8227 21.7425 Å, 90.00 90.00 120.00°
Space group R-3m (No. 166, hexagonal axes)
Asymmetric unit:
Ni 0.0000 0.0000 0.0000 x3
W 0.0000 0.0000 0.5000 x3
F 0.0000 0.0000 0.4046 x6